1.
Material: PmNdPbAu
Method: DFT, PBE
State: relaxed

Summary:
The total magnetization is 0.84 μB per formula unit. The value obtained for the total DFT energy (no corrections) is -75.92 eV per cell. As for the energy of formation from the pure elements: -0.62 eV per atom. The value obtained for the volume is 28.0 A^3/atom.

```
data_PmNdPbAu
_chemical_formula_sum 'Pm4 Nd4 Pb4 Au4'
_space_group_name_H-M_alt 'F -4 3 m'
_space_group_IT_number 216
_space_group_name_Hall 'F -4 2 3'
_cell_length_a 7.648
_cell_length_b 7.648
_cell_length_c 7.648
_cell_angle_alpha 90.00
_cell_angle_beta 90.00
_cell_angle_gamma 90.00
loop_
_atom_site_label
_atom_site_type_symbol
_atom_site_fract_x
_atom_site_fract_y
_atom_site_fract_z
_atom_site_occupancy
Pm1 Pm 0.000 0.000 0.000 1
Nd1 Nd 0.000 0.000 0.500 1
Pb1 Pb 0.250 0.250 0.750 1
Au1 Au 0.250 0.250 0.250 1
```

---

2.
Material: NdPuPbAu
Method: DFT, PBE
State: relaxed

Summary:
The total magnetization is 6.22 μB per formula unit. The value obtained for the total DFT energy (no corrections) is -110.86 eV per cell. As for the energy of formation from the pure elements: -0.41 eV per atom. The value obtained for the volume is 27.5 A^3/atom.

```
data_NdPuPbAu
_chemical_formula_sum 'Nd4 Pu4 Pb4 Au4'
_space_group_name_H-M_alt 'F -4 3 m'
_space_group_IT_number 216
_space_group_name_Hall 'F -4 2 3'
_cell_length_a 7.610
_cell_length_b 7.610
_cell_length_c 7.610
_cell_angle_alpha 90.00
_cell_angle_beta 90.00
_cell_angle_gamma 90.00
loop_
_atom_site_label
_atom_site_type_symbol
_atom_site_fract_x
_atom_site_fract_y
_atom_site_fract_z
_atom_site_occupancy
Nd1 Nd 0.000 0.000 0.000 1
Pu1 Pu 0.000 0.000 0.500 1
Pb1 Pb 0.250 0.250 0.250 1
Au1 Au 0.250 0.250 0.750 1
```

---

3.
Material: NdScPbAu
Method: DFT, PBE
State: relaxed

Summary:
The total magnetization is 0.89 μB per formula unit. The value obtained for the total DFT energy (no corrections) is -81.07 eV per cell. As for the energy of formation from the pure elements: -0.55 eV per atom. The value obtained for the volume is 25.3 A^3/atom.

```
data_NdScPbAu
_chemical_formula_sum 'Nd4 Sc4 Pb4 Au4'
_space_group_name_H-M_alt 'F -4 3 m'
_space_group_IT_number 216
_space_group_name_Hall 'F -4 2 3'
_cell_length_a 7.393
_cell_length_b 7.393
_cell_length_c 7.393
_cell_angle_alpha 90.00
_cell_angle_beta 90.00
_cell_angle_gamma 90.00
loop_
_atom_site_label
_atom_site_type_symbol
_atom_site_fract_x
_atom_site_fract_y
_atom_site_fract_z
_atom_site_occupancy
Nd1 Nd 0.000 0.000 0.000 1
Sc1 Sc 0.000 0.000 0.500 1
Pb1 Pb 0.250 0.250 0.250 1
Au1 Au 0.250 0.250 0.750 1
```

---

4.
Material: NdSi2Pb2Au7
Method: DFT, PBE
State: relaxed

Summary:
The total magnetization is 0.00 μB per formula unit. The value obtained for the raw formation energy is -0.2364 eV/atom. The value obtained for the total DFT energy (no corrections) is -97.62 eV per cell. The value obtained for the volume is 22.7 A^3/atom.

```
data_NdSi2Pb2Au7
_chemical_formula_sum 'Nd2 Si4 Pb4 Au14'
_space_group_name_H-M_alt 'C 1 2/m 1'
_space_group_IT_number 12
_cell_length_a 6.799
_cell_length_b 6.918
_cell_length_c 11.747
_cell_angle_alpha 90.00
_cell_angle_beta 100.22
_cell_angle_gamma 90.00
loop_
_space_group_symop_operation_xyz
'x,y,z'
'-x,-y,-z'
'-x,y,-z'
'x,-y,z'
'x+1/2,y+1/2,z'
'-x+1/2,-y+1/2,-z'
'-x+1/2,y+1/2,-z'
'x+1/2,-y+1/2,z'
loop_
_atom_site_label
_atom_site_type_symbol
_atom_site_fract_x
_atom_site_fract_y
_atom_site_fract_z
_atom_site_occupancy
Nd1 Nd 0.000 0.000 0.000 1
Si1 Si 0.188 0.500 0.213 1
Pb1 Pb 0.122 0.000 0.382 1
Au1 Au 0.000 0.500 0.000 1
Au2 Au 0.082 0.500 0.401 1
Au3 Au 0.145 0.293 0.819 1
```

---

5.
Material: NdSmPbAu
Method: DFT, PBE
State: relaxed

Summary:
The total magnetization is 0.85 μB per formula unit. The value obtained for the total DFT energy (no corrections) is -75.75 eV per cell. As for the energy of formation from the pure elements: -0.62 eV per atom. The value obtained for the volume is 27.8 A^3/atom.

```
data_NdSmPbAu
_chemical_formula_sum 'Nd4 Sm4 Pb4 Au4'
_space_group_name_H-M_alt 'F -4 3 m'
_space_group_IT_number 216
_space_group_name_Hall 'F -4 2 3'
_cell_length_a 7.630
_cell_length_b 7.630
_cell_length_c 7.630
_cell_angle_alpha 90.00
_cell_angle_beta 90.00
_cell_angle_gamma 90.00
loop_
_atom_site_label
_atom_site_type_symbol
_atom_site_fract_x
_atom_site_fract_y
_atom_site_fract_z
_atom_site_occupancy
Nd1 Nd 0.000 0.000 0.000 1
Sm1 Sm 0.000 0.000 0.500 1
Pb1 Pb 0.250 0.250 0.250 1
Au1 Au 0.250 0.250 0.750 1
```

---

6.
Material: SrNdPbAu
Method: DFT, PBE
State: relaxed

Summary:
The total magnetization is 0.00 μB per formula unit. The value obtained for the total DFT energy (no corrections) is -63.70 eV per cell. As for the energy of formation from the pure elements: -0.62 eV per atom. The value obtained for the volume is 29.7 A^3/atom.

```
data_SrNdPbAu
_chemical_formula_sum 'Sr4 Nd4 Pb4 Au4'
_space_group_name_H-M_alt 'F -4 3 m'
_space_group_IT_number 216
_space_group_name_Hall 'F -4 2 3'
_cell_length_a 7.808
_cell_length_b 7.808
_cell_length_c 7.808
_cell_angle_alpha 90.00
_cell_angle_beta 90.00
_cell_angle_gamma 90.00
loop_
_atom_site_label
_atom_site_type_symbol
_atom_site_fract_x
_atom_site_fract_y
_atom_site_fract_z
_atom_site_occupancy
Sr1 Sr 0.000 0.000 0.000 1
Nd1 Nd 0.000 0.000 0.500 1
Pb1 Pb 0.250 0.250 0.750 1
Au1 Au 0.250 0.250 0.250 1
```

---

7.
Material: NdThPbAu
Method: DFT, PBE
State: relaxed

Summary:
The total magnetization is 0.00 μB per formula unit. The value obtained for the total DFT energy (no corrections) is -83.95 eV per cell. As for the energy of formation from the pure elements: -0.45 eV per atom. The value obtained for the volume is 28.2 A^3/atom.

```
data_NdThPbAu
_chemical_formula_sum 'Nd4 Th4 Pb4 Au4'
_space_group_name_H-M_alt 'F -4 3 m'
_space_group_IT_number 216
_space_group_name_Hall 'F -4 2 3'
_cell_length_a 7.666
_cell_length_b 7.666
_cell_length_c 7.666
_cell_angle_alpha 90.00
_cell_angle_beta 90.00
_cell_angle_gamma 90.00
loop_
_atom_site_label
_atom_site_type_symbol
_atom_site_fract_x
_atom_site_fract_y
_atom_site_fract_z
_atom_site_occupancy
Nd1 Nd 0.000 0.000 0.000 1
Th1 Th 0.000 0.000 0.500 1
Pb1 Pb 0.250 0.250 0.750 1
Au1 Au 0.250 0.250 0.250 1
```

---

8.
Material: NdYPbAu
Method: DFT, PBE
State: relaxed

Summary:
The total magnetization is 0.84 μB per formula unit. The value obtained for the total DFT energy (no corrections) is -82.80 eV per cell. As for the energy of formation from the pure elements: -0.62 eV per atom. The value obtained for the volume is 27.1 A^3/atom.

```
data_NdYPbAu
_chemical_formula_sum 'Nd4 Y4 Pb4 Au4'
_space_group_name_H-M_alt 'F -4 3 m'
_space_group_IT_number 216
_space_group_name_Hall 'F -4 2 3'
_cell_length_a 7.565
_cell_length_b 7.565
_cell_length_c 7.565
_cell_angle_alpha 90.00
_cell_angle_beta 90.00
_cell_angle_gamma 90.00
loop_
_atom_site_label
_atom_site_type_symbol
_atom_site_fract_x
_atom_site_fract_y
_atom_site_fract_z
_atom_site_occupancy
Nd1 Nd 0.000 0.000 0.000 1
Y1 Y 0.000 0.000 0.500 1
Pb1 Pb 0.250 0.250 0.250 1
Au1 Au 0.250 0.250 0.750 1
```

---

9.
Material: NdZrPbAu
Method: DFT, PBE
State: relaxed

Summary:
The total magnetization is 0.00 μB per formula unit. The value obtained for the total DFT energy (no corrections) is -86.92 eV per cell. As for the energy of formation from the pure elements: -0.36 eV per atom. The value obtained for the volume is 24.9 A^3/atom.

```
data_NdZrPbAu
_chemical_formula_sum 'Nd4 Zr4 Pb4 Au4'
_space_group_name_H-M_alt 'F -4 3 m'
_space_group_IT_number 216
_space_group_name_Hall 'F -4 2 3'
_cell_length_a 7.362
_cell_length_b 7.362
_cell_length_c 7.362
_cell_angle_alpha 90.00
_cell_angle_beta 90.00
_cell_angle_gamma 90.00
loop_
_atom_site_label
_atom_site_type_symbol
_atom_site_fract_x
_atom_site_fract_y
_atom_site_fract_z
_atom_site_occupancy
Nd1 Nd 0.000 0.000 0.000 1
Zr1 Zr 0.000 0.000 0.500 1
Pb1 Pb 0.250 0.250 0.250 1
Au1 Au 0.250 0.250 0.750 1
```

---

10.
Material: NdPd3Au9
Method: DFT, PBE
State: relaxed

Summary:
The total magnetization is 0.00 μB per formula unit. The value obtained for the total DFT energy (no corrections) is -106.58 eV per cell. As for the energy of formation from the pure elements: -0.27 eV per atom. The value obtained for the volume is 19.0 A^3/atom.

```
data_NdPd3Au9
_chemical_formula_sum 'Nd2 Pd6 Au18'
_space_group_name_H-M_alt 'C 1 2/m 1'
_space_group_IT_number 12
_cell_length_a 5.632
_cell_length_b 13.169
_cell_length_c 7.197
_cell_angle_alpha 90.00
_cell_angle_beta 112.19
_cell_angle_gamma 90.00
loop_
_space_group_symop_operation_xyz
'x,y,z'
'-x,-y,-z'
'-x,y,-z'
'x,-y,z'
'x+1/2,y+1/2,z'
'-x+1/2,-y+1/2,-z'
'-x+1/2,y+1/2,-z'
'x+1/2,-y+1/2,z'
loop_
_atom_site_label
_atom_site_type_symbol
_atom_site_fract_x
_atom_site_fract_y
_atom_site_fract_z
_atom_site_occupancy
Nd1 Nd 0.000 0.000 0.000 1
Pd1 Pd 0.000 0.000 0.500 1
Pd2 Pd 0.250 0.250 0.000 1
Au1 Au 0.000 0.500 0.500 1
Au2 Au 0.109 0.391 0.215 1
Au3 Au 0.158 0.172 0.337 1
```

---

11.
Material: Nd4Pd3Au
Method: DFT, PBE
State: relaxed

Summary:
The total magnetization is 0.00 μB per formula unit. The value obtained for the total DFT energy (no corrections) is -44.37 eV per cell. As for the energy of formation from the pure elements: -0.81 eV per atom. The value obtained for the volume is 25.1 A^3/atom.

```
data_Nd4Pd3Au
_chemical_formula_sum 'Nd4 Pd3 Au1'
_space_group_name_H-M_alt 'P m m 2'
_space_group_IT_number 25
_cell_length_a 3.896
_cell_length_b 4.722
_cell_length_c 10.933
_cell_angle_alpha 90.00
_cell_angle_beta 90.00
_cell_angle_gamma 90.00
loop_
_space_group_symop_operation_xyz
'x,y,z'
'-x,-y,z'
'-x,y,z'
'x,-y,z'
loop_
_atom_site_label
_atom_site_type_symbol
_atom_site_fract_x
_atom_site_fract_y
_atom_site_fract_z
_atom_site_occupancy
Nd1 Nd 0.000 0.000 0.000 1
Nd2 Nd 0.000 0.500 0.269 1
Nd3 Nd 0.500 0.000 0.489 1
Nd4 Nd 0.500 0.500 0.770 1
Pd1 Pd 0.000 0.500 0.546 1
Pd2 Pd 0.500 0.000 0.217 1
Pd3 Pd 0.500 0.500 0.047 1
Au1 Au 0.000 0.000 0.715 1
```

---

12.
Material: NdPd5Au6
Method: DFT, PBE
State: relaxed

Summary:
The total magnetization is 0.00 μB per formula unit. The value obtained for the total DFT energy (no corrections) is -107.42 eV per cell. As for the energy of formation from the pure elements: -0.28 eV per atom. The value obtained for the volume is 17.9 A^3/atom.

```
data_NdPd5Au6
_chemical_formula_sum 'Nd2 Pd10 Au12'
_space_group_name_H-M_alt 'I m m m'
_space_group_IT_number 71
_space_group_name_Hall '-I 2 2'
_cell_length_a 4.204
_cell_length_b 8.185
_cell_length_c 12.451
_cell_angle_alpha 90.00
_cell_angle_beta 90.00
_cell_angle_gamma 90.00
loop_
_atom_site_label
_atom_site_type_symbol
_atom_site_fract_x
_atom_site_fract_y
_atom_site_fract_z
_atom_site_occupancy
Nd1 Nd 0.000 0.000 0.000 1
Pd1 Pd 0.000 0.000 0.328 1
Pd2 Pd 0.000 0.500 0.000 1
Pd3 Pd 0.000 0.500 0.338 1
Au1 Au 0.000 0.229 0.500 1
Au2 Au 0.000 0.262 0.171 1
```